The following is a GGA-PBEsol calculation of a geometry-optimized NiAsIr structure, from the Alexandria database.

## Properties
The crystal system is trigonal. The density of states at the Fermi level is 2.88 states/eV per cell. Its formation energy is 93 meV/atom.

Cell: 2.8455 2.8455 5.7426 Å, 90.00 90.00 120.00°
With the nearest neighbours (Å) after each atom.
Fractional positions:
Ni  0.0000  0.0000  0.0000  3 As 2.39, 3 Ir 2.62
As  0.3333  0.6667  0.6987  3 Ni 2.39, 3 Ir 2.56
Ir  0.6667  0.3333  0.3562  3 As 2.56, 3 Ni 2.62, 6 Ir 2.85